1.
First-principles (PBE-GGA) data for Nd2ErTmSb4 after structural relaxation, as listed in Alexandria via LeMat-Bulk.

Cell: 7.673 4.441 7.687 Å, 90.00 109.51 90.00°
Space group P2/m (No. 10)
Symmetry-distinct sites (fractional):
Nd1 0.000 0.000 0.000 [1 per cell]
Nd2 0.000 0.500 0.500 [1 per cell]
Er1 0.500 0.000 0.500 [1 per cell]
Tm1 0.500 0.500 0.000 [1 per cell]
Sb1 0.262 0.000 0.755 [2 per cell]
Sb2 0.262 0.500 0.253 [2 per cell]

N(E_F)	1.10	states/eV per cell
E	-5.51	eV/atom
mass density	7.476	g/cm3
spin magnetization	0.000	μB per atom

***

2.
First-principles (PBE-GGA) data for NdErTm2Sb4 after structural relaxation, as listed in Alexandria via LeMat-Bulk.

Cell: 6.209 6.209 12.417 Å, 90.00 90.00 90.00°
Space group I4/mmm (No. 139)
Symmetry-distinct sites (fractional):
Nd1 0.000 0.000 0.000 [2 per cell]
Er1 0.000 0.000 0.500 [2 per cell]
Tm1 0.000 0.500 0.250 [4 per cell]
Sb1 0.000 0.000 0.254 [4 per cell]
Sb2 0.000 0.500 0.000 [4 per cell]

N(E_F)	2.45	states/eV per cell
E	-5.44	eV/atom
mass density	7.885	g/cm3
spin magnetization	0.000	μB per atom

***

3.
First-principles (PBE-GGA) data for NdY3Er2Sb6 after structural relaxation, as listed in Alexandria via LeMat-Bulk.

Cell: 7.624 13.210 7.622 Å, 90.00 109.49 90.00°
Space group C2/m (No. 12)
Symmetry-distinct sites (fractional):
Nd1 0.000 0.000 0.000 [2 per cell]
Y1 0.000 0.164 0.500 [4 per cell]
Y2 0.000 0.500 0.500 [2 per cell]
Er1 0.000 0.332 0.000 [4 per cell]
Sb1 0.243 0.500 0.249 [4 per cell]
Sb2 0.246 0.330 0.748 [8 per cell]

N(E_F)	4.37	states/eV per cell
E	-5.98	eV/atom
mass density	6.774	g/cm3
spin magnetization	0.000	μB per atom